Record 1
Here is an optimized crystal structure of ZnRhPb2 from Alexandria. Energies are from PBE-GGA.

Unit cell a=3.3650 b=3.3650 c=7.9412 alpha=90.00 beta=90.00 gamma=90.02
Positions (direct):
Pb 0.0000 0.0000 0.0340
Pb 0.0000 0.0000 0.4660
Rh 0.5000 0.5000 0.2500
Zn 0.5000 0.5000 0.7500

D(E_F), states/eV/cell: 1.81
Magnetization, μB per formula unit: 0.00
ΔH_f (0 K), kJ/mol of atoms: 8.3
Space-group type: No. 123

***

Record 2
Here is an optimized crystal structure of ZnRhPb2 from Alexandria. Energies are from PBE-GGA.

Unit cell a=9.4539 b=9.4539 c=9.4539 alpha=20.61 beta=20.61 gamma=20.61
Positions (direct):
Pb 0.0101 0.0101 0.0101
Pb 0.2316 0.2316 0.2316
Rh 0.4920 0.4920 0.4920
Zn 0.7663 0.7663 0.7663

D(E_F), states/eV/cell: 3.54
Magnetization, μB per formula unit: 0.00
ΔH_f (0 K), kJ/mol of atoms: 7.5
Space-group type: No. 160

***

> Which of these has the highest ΔH_f (0 K)?

number 1

***

> Which of these has the lowest D(E_F)?

number 1

***

> Look up the ΔH_f (0 K) of the first one.

8.3 kJ/mol of atoms